Density functional theory data (PBE) for an optimized crystal structure of ZrTlCu2I8.

a = 7.293 Å, b = 7.293 Å, c = 9.884 Å
α = 89.68°, β = 89.68°, γ = 67.29°
Element x y z (fractional)
I  0.764  0.764  0.006
I  0.751  0.254  0.208
I  0.249  0.746  0.792
I  0.236  0.236  0.994
I  0.254  0.751  0.208
I  0.746  0.249  0.792
I  0.279  0.279  0.532
I  0.721  0.721  0.468
Cu  0.651  0.651  0.231
Cu  0.349  0.349  0.769
Tl  0.000  0.000  0.500
Zr  0.000  0.000  0.000

Properties
M_tot = 0.000 μB/atom
N(E_F) = 0.96 states/eV/atom
SG = C2/m, No. 12
final energy = -3.11 eV per atom
E_form (uncorrected) = -0.4871 eV per atom